VASP calculation (PBE-GGA) on Pm2Be2O5 after structural relaxation.

Structure (extended XYZ):
```
9
Lattice="-1.291 -5.751 6.777 3.605 -1.250 -0.374 1.182 2.666 2.488" Properties=species:S:1:pos:R:3 pbc="T T T"
Be 0.000 0.000 0.000
Be -0.646 -2.876 3.389
O 1.645 -1.325 0.638
O 0.668 -5.676 5.765
O 0.434 0.633 2.069
O -0.543 -3.718 7.196
O 1.748 -2.168 4.446
Pm 2.082 -0.678 2.691
Pm 1.413 -3.657 6.200
```

Results
- Energy above the most stable polymorph in this dataset: 1441 meV/atom
- SG: No. 123